[1]
An optimized crystal structure of Ba2Cd3SnAu4. Source: the Alexandria database, functional PBE-GGA.

```
Ba2Cd3SnAu4
1.0
-1.157 1.671 -4.582
4.556 -1.312 -1.629
-3.757 -9.791 -2.621
Ba Cd Sn Au
2 3 1 4
direct
0.500 0.000 0.238
0.000 0.500 0.762
0.000 0.000 0.500
0.500 0.000 0.878
0.000 0.500 0.122
0.500 0.500 0.500
0.500 0.500 0.000
0.000 0.000 0.000
0.500 0.000 0.623
0.000 0.500 0.377
```

DOS at the Fermi energy	4.4	states/eV/cell
energy of formation from the pure elements	-501	meV/atom
M_tot	0.00	μB/f.u.

=====

[2]
An optimized crystal structure of CrSb2Cl. Source: the Alexandria database, functional PBE-GGA.

```
CrSb2Cl
1.0
-3.570 -3.548 1.910
-0.443 -3.874 -3.712
4.391 2.077 2.322
Sb Cl Cr
2 1 1
direct
0.000 0.000 0.000
0.500 0.500 0.000
0.250 0.750 0.500
0.750 0.250 0.500
```

DOS at the Fermi energy	2.9	states/eV/cell
formation energy from raw total energies	28	kJ/mol of atoms
M_tot	3.37	μB/f.u.

=====

[3]
An optimized crystal structure of Pu2PaRe. Source: the Alexandria database, functional PBE-GGA.

```
Pu2PaRe
1.0
3.259 0.000 0.000
0.000 5.029 0.000
0.000 0.000 5.029
Re Pa Pu
1 1 2
direct
0.500 0.000 0.000
0.500 0.500 0.500
0.000 0.000 0.500
0.000 0.500 0.000
```

DOS at the Fermi energy	11.3	states/eV/cell
energy of formation from the pure elements	252	meV/atom
M_tot	8.63	μB/f.u.

=====

[4]
An optimized crystal structure of CaHf2As2. Source: the Alexandria database, functional PBE-GGA.

```
CaHf2As2
1.0
4.238 0.000 0.000
0.000 4.238 0.000
2.119 2.119 6.341
As Hf Ca
2 2 1
direct
0.386 0.386 0.227
0.614 0.614 0.773
0.750 0.250 0.500
0.250 0.750 0.500
0.000 0.000 0.000
```

DOS at the Fermi energy	3.7	states/eV/cell
energy of formation from the pure elements	-739	meV/atom
M_tot	0.00	μB/f.u.

=====

[5]
An optimized crystal structure of ZnCdCl. Source: the Alexandria database, functional PBE-GGA.

```
ZnCdCl
1.0
-1.225 -5.710 1.721
2.610 -5.395 -1.073
0.683 5.836 1.595
Cd Cl Zn
1 1 1
direct
0.015 0.015 0.000
0.325 0.325 0.000
0.660 0.660 0.000
```

DOS at the Fermi energy	0.7	states/eV/cell
formation energy from raw total energies	-19	kJ/mol of atoms
M_tot	0.00	μB/f.u.

=====

[6]
An optimized crystal structure of MgSiF2. Source: the Alexandria database, functional PBE-GGA.

```
MgSiF2
1.0
-3.191 -3.237 -3.417
-1.389 -3.297 4.420
-5.817 -0.667 1.332
Si Mg F
2 2 4
direct
0.000 0.000 0.000
0.750 0.250 0.500
0.500 0.500 0.000
0.250 0.750 0.500
0.454 0.125 0.250
0.296 0.625 0.250
0.375 0.546 0.750
0.875 0.704 0.750
```

DOS at the Fermi energy	1.5	states/eV/cell
formation energy from raw total energies	-164	kJ/mol of atoms
M_tot	0.00	μB/f.u.

=====

[7]
An optimized crystal structure of SmLuTh2. Source: the Alexandria database, functional PBE-GGA.

```
SmLuTh2
1.0
-3.270 0.673 -1.213
-0.275 -3.359 -1.121
-3.874 -2.674 8.964
Lu Sm Th
1 1 2
direct
0.500 0.500 0.000
0.500 0.500 0.500
0.000 0.000 0.756
0.000 0.000 0.244
```

DOS at the Fermi energy	6.3	states/eV/cell
energy of formation from the pure elements	59	meV/atom
M_tot	0.00	μB/f.u.

=====

[8]
An optimized crystal structure of RbYSN2. Source: the Alexandria database, functional PBE-GGA.

```
RbYSN2
1.0
4.249 0.000 0.000
0.000 7.012 0.000
0.000 0.000 4.249
Y S Rb N
1 1 1 2
direct
0.000 0.500 0.000
0.500 0.500 0.500
0.000 0.000 0.000
0.000 0.000 0.500
0.500 0.000 0.000
```

DOS at the Fermi energy	2.8	states/eV/cell
formation energy from raw total energies	183	kJ/mol of atoms
M_tot	2.06	μB/f.u.